A relaxed Li3Y3TaSe8 crystal. Source: Alexandria via LeMat-Bulk, functional PBE-GGA.

```
Li3Y3TaSe8
1.0
3.987 2.302 6.532
-3.987 2.302 6.532
0.000 -4.604 6.532
Li Y Ta Se
3 3 1 8
direct
0.000 0.500 0.500
0.500 0.000 0.500
0.500 0.500 0.000
0.000 0.000 0.500
0.000 0.500 0.000
0.500 0.000 0.000
0.500 0.500 0.500
0.253 0.253 0.253
0.264 0.264 0.729
0.264 0.729 0.264
0.271 0.736 0.736
0.729 0.264 0.264
0.736 0.271 0.736
0.736 0.736 0.271
0.747 0.747 0.747
```

Results
ΔE_f (raw): -1465 meV per atom
Magnetization: 0.8 μB per formula unit
DOS(E_F): 0.28 states/eV per atom

---

A relaxed PrEr4Th crystal. Source: Alexandria via LeMat-Bulk, functional PBE-GGA.

```
PrEr4Th
1.0
5.876 -1.781 0.000
5.876 1.781 0.000
-4.309 0.000 9.093
Pr Er Th
1 4 1
direct
0.000 0.000 0.000
0.332 0.332 0.660
0.333 0.333 0.173
0.667 0.667 0.827
0.668 0.668 0.340
0.000 0.000 0.500
```

Results
DFT formation energy: 0.14 eV/f.u.
Magnetization: 0.0 μB per formula unit
DOS(E_F): 1.22 states/eV per atom

---

A relaxed KNi2Cl crystal. Source: Alexandria via LeMat-Bulk, functional PBE-GGA.

```
KNi2Cl
1.0
-2.555 2.555 6.864
2.555 -2.555 6.864
2.555 2.555 -6.864
K Ni Cl
2 4 2
direct
0.375 0.625 0.750
0.625 0.375 0.250
0.000 0.000 0.000
0.000 0.000 0.500
0.000 0.500 0.000
0.500 0.000 0.500
0.125 0.875 0.250
0.875 0.125 0.750
```

Results
ΔE_f (raw): 128 meV per atom
Magnetization: 0.0 μB per formula unit
DOS(E_F): 0.05 states/eV per atom

---

Number 1: calculated density 5.08 g cm⁻³. Number 2: calculated density 9.09 g cm⁻³. Number 3: calculated density 3.56 g cm⁻³.